A plane-wave DFT calculation with PBE was carried out for a relaxed structure of PmHfPt.

Output
Its total magnetic moment is 0.24 μB per formula unit. The calculation puts the total energy at -45.39 eV for the cell shown. The formation energy is -0.6494 eV/atom. Its distance to the lowest polymorph of the same formula is 121 meV/atom. Its crystal system is tetragonal.

```
data_PmHfPt
_chemical_formula_sum 'Pm2 Hf2 Pt2'
_cell_length_a 3.4476
_cell_length_b 3.4476
_cell_length_c 11.9888
_cell_angle_alpha 90.00
_cell_angle_beta 90.00
_cell_angle_gamma 90.00
_space_group_name_H-M_alt 'I 4 m m'
_space_group_IT_number 107
_space_group_name_Hall 'I 4 -2'
loop_
_atom_site_label
_atom_site_type_symbol
_atom_site_fract_x
_atom_site_fract_y
_atom_site_fract_z
Pm1 Pm 0.0000 0.0000 0.0000
Hf1 Hf 0.0000 0.0000 0.7080
Pt1 Pt 0.0000 0.0000 0.3084
```

---

A plane-wave DFT calculation with PBE was carried out for a relaxed structure of PmHfPt2.

Output
Its total magnetic moment is 0.00 μB per formula unit. The calculation puts the total energy at -92.97 eV for the cell shown. The formation energy is -1.0508 eV/atom. Its distance to the lowest polymorph of the same formula is 46 meV/atom. Its crystal system is trigonal.

```
data_PmHfPt2
_chemical_formula_sum 'Pm3 Hf3 Pt6'
_cell_length_a 4.5863
_cell_length_b 4.5863
_cell_length_c 14.5160
_cell_angle_alpha 90.00
_cell_angle_beta 90.00
_cell_angle_gamma 120.00
_space_group_name_H-M_alt 'R -3 m'
_space_group_IT_number 166
_space_group_name_Hall '-R 3 2"'
loop_
_atom_site_label
_atom_site_type_symbol
_atom_site_fract_x
_atom_site_fract_y
_atom_site_fract_z
Pm1 Pm 0.0000 0.0000 0.0000
Hf1 Hf 0.0000 0.0000 0.5000
Pt1 Pt 0.0000 0.0000 0.2146
```

---

A plane-wave DFT calculation with PBE was carried out for a relaxed structure of PmHfPt2.

Output
Its total magnetic moment is 0.00 μB per formula unit. The calculation puts the total energy at -121.65 eV for the cell shown. The formation energy is -0.9070 eV/atom. Its distance to the lowest polymorph of the same formula is 190 meV/atom. Its crystal system is cubic.

```
data_PmHfPt2
_chemical_formula_sum 'Pm4 Hf4 Pt8'
_cell_length_a 6.9018
_cell_length_b 6.9018
_cell_length_c 6.9018
_cell_angle_alpha 90.00
_cell_angle_beta 90.00
_cell_angle_gamma 90.00
_space_group_name_H-M_alt 'F m -3 m'
_space_group_IT_number 225
_space_group_name_Hall '-F 4 2 3'
loop_
_atom_site_label
_atom_site_type_symbol
_atom_site_fract_x
_atom_site_fract_y
_atom_site_fract_z
Pm1 Pm 0.0000 0.0000 0.0000
Hf1 Hf 0.0000 0.0000 0.5000
Pt1 Pt 0.2500 0.2500 0.2500
```

---

A plane-wave DFT calculation with PBE was carried out for a relaxed structure of Pm3HfPt3.

Output
Its total magnetic moment is 0.00 μB per formula unit. The calculation puts the total energy at -194.05 eV for the cell shown. The formation energy is -0.8834 eV/atom. Its crystal system is monoclinic.

```
data_Pm3HfPt3
_chemical_formula_sum 'Pm12 Hf4 Pt12'
_cell_length_a 9.6022
_cell_length_b 10.2882
_cell_length_c 7.1121
_cell_angle_alpha 90.00
_cell_angle_beta 90.65
_cell_angle_gamma 90.00
_space_group_name_H-M_alt 'C 1 2/m 1'
_space_group_IT_number 12
_space_group_name_Hall '-C 2y'
loop_
_atom_site_label
_atom_site_type_symbol
_atom_site_fract_x
_atom_site_fract_y
_atom_site_fract_z
Pm1 Pm 0.0000 0.1778 0.0000
Pm2 Pm 0.0000 0.2734 0.5000
Pm3 Pm 0.1706 0.5000 0.1005
Hf1 Hf 0.2218 0.0000 0.3861
Pt1 Pt 0.0621 0.0000 0.6898
Pt2 Pt 0.2316 0.2842 0.7893
```